Entry 1:
An optimized crystal structure of Ba2ZnTe2, computed with PBE.

extended XYZ file:
```
10
Lattice="9.503 0.000 0.000 0.000 9.503 0.000 0.000 0.000 4.440" Properties=species:S:1:pos:R:3 pbc="T T T"
Zn 4.751 4.751 0.000
Zn 0.000 0.000 0.000
Ba 8.062 3.311 2.220
Ba 3.311 1.441 2.220
Ba 6.192 8.062 2.220
Ba 1.441 6.192 2.220
Te 1.424 3.328 0.000
Te 3.328 8.079 0.000
Te 8.079 6.175 0.000
Te 6.175 1.424 0.000
```

Output
* total moment: 0.00 μB per atom
* Fermi-level density of states: 0.06 states/eV/f.u.
* space group: P4/mbm
* total DFT energy (no corrections): -3.399 eV per atom

=====

Entry 2:
An optimized crystal structure of SbPS, computed with PBE.

extended XYZ file:
```
6
Lattice="-1.117 -2.309 4.629 3.735 -3.268 -2.493 4.055 4.357 1.201" Properties=species:S:1:pos:R:3 pbc="T T T"
P 1.540 0.765 1.582
P 1.850 1.198 3.748
S 6.726 -0.473 1.626
S 3.509 -1.646 1.601
Sb 2.260 -3.048 3.378
Sb 3.824 1.493 0.642
```

Output
* total moment: 0.00 μB per atom
* space group: P1
* total DFT energy (no corrections): -4.540 eV per atom